[1]
Sm5N | PBE-GGA | optimized geometry

Values from the calculation:
E	-23.6	eV for the cell shown
crystal system	hexagonal
magnetization	0.308	μB/f.u.

abc: 6.0859 6.0859 6.1547
angles: 90.00 90.00 120.00
Last column: nearest neighbours and their distance in Å.
Space group P6/mmm (No. 191)
Asymmetric unit:
Sm  0.0000  0.5000  0.0000 (multiplicity 3)  4 Sm 3.04
Sm  0.3333  0.6667  0.5000 (multiplicity 2)  3 N 3.51, 9 Sm 3.51-3.54
N  0.0000  0.0000  0.5000 (multiplicity 1)  6 Sm 3.51

---

[2]
TbDyAg2Se4 | PBE-GGA | optimized geometry

Values from the calculation:
E	-77.3	eV for the cell shown
crystal system	orthorhombic
magnetization	0.003	μB/f.u.

abc: 9.5734 9.5771 4.3241
angles: 90.00 90.00 90.00
Last column: nearest neighbours and their distance in Å.
Space group Cmm2 (No. 35)
Asymmetric unit:
Tb  0.0000  0.0000  0.0000 (multiplicity 2)  6 Se 2.86-2.94
Dy  0.0000  0.5000  0.5922 (multiplicity 2)  6 Se 2.86-2.94
Ag  0.2500  0.2500  0.7961 (multiplicity 4)  4 Se 2.73
Se  0.0000  0.2983  0.0793 (multiplicity 4)  2 Ag 2.73, 2 Dy 2.86-2.94, 1 Tb 2.88
Se  0.2023  0.0000  0.5130 (multiplicity 4)  2 Ag 2.73, 2 Tb 2.86-2.94, 1 Dy 2.87

---

[3]
ErNbTe | PBE-GGA | optimized geometry

Values from the calculation:
E	-70.7	eV for the cell shown
crystal system	cubic
E above lowest polymorph	0.000	eV/atom
magnetization	0.024	μB/f.u.

abc: 6.7411 6.7411 6.7411
angles: 90.00 90.00 90.00
Last column: nearest neighbours and their distance in Å.
Space group F-43m (No. 216)
Asymmetric unit:
Er  0.0000  0.0000  0.0000 (multiplicity 4)  4 Te 2.92
Nb  0.0000  0.0000  0.5000 (multiplicity 4)  4 Te 2.92
Te  0.2500  0.2500  0.2500 (multiplicity 4)  4 Nb 2.92, 4 Er 2.92

---

[4]
CsPdO3 | PBE-GGA | optimized geometry

Values from the calculation:
E	-133.8	eV for the cell shown
crystal system	trigonal

abc: 6.8613 6.8613 15.8754
angles: 90.00 90.00 120.00
Last column: nearest neighbours and their distance in Å.
Space group R-3c (No. 167, hexagonal axes)
Asymmetric unit:
Cs  0.0000  0.0000  0.0000 (multiplicity 6)  6 O 2.89
Pd  0.0000  0.0000  0.2500 (multiplicity 6)  3 O 1.79
O  0.0000  0.2614  0.2500 (multiplicity 18)  1 Pd 1.79

---

[5]
NaIrNO | PBE-GGA | optimized geometry

Values from the calculation:
E	-48.4	eV for the cell shown
crystal system	orthorhombic
E above lowest polymorph	0.000	eV/atom
magnetization	0.001	μB/f.u.

abc: 3.3821 6.1146 5.6970
angles: 90.00 90.00 90.00
Last column: nearest neighbours and their distance in Å.
Space group Pmc2_1 (No. 26)
Asymmetric unit:
Na  0.0000  0.1708  0.0000 (multiplicity 2)  2 O 2.24, 2 N 2.39-2.48
Ir  0.5000  0.3309  0.5014 (multiplicity 2)  2 N 1.87, 2 O 2.01-2.03
N  0.0000  0.2154  0.4330 (multiplicity 2)  2 Ir 1.87
O  0.5000  0.3678  0.8518 (multiplicity 2)  2 Ir 2.01-2.03, 2 Na 2.24

---

[6]
Y2TaSb | PBE-GGA | optimized geometry

Values from the calculation:
E	-113.7	eV for the cell shown
crystal system	cubic
magnetization	2.004	μB/f.u.

abc: 7.2446 7.2446 7.2446
angles: 90.00 90.00 90.00
Last column: nearest neighbours and their distance in Å.
Space group F-43m (No. 216)
Asymmetric unit:
Y  0.0000  0.0000  0.0000 (multiplicity 4)  4 Ta 3.14, 4 Y 3.14
Y  0.2500  0.2500  0.2500 (multiplicity 4)  4 Sb 3.14, 4 Y 3.14
Ta  0.2500  0.2500  0.7500 (multiplicity 4)  4 Sb 3.14, 4 Y 3.14
Sb  0.0000  0.0000  0.5000 (multiplicity 4)  4 Ta 3.14, 4 Y 3.14

---

[7]
LaPdNO | PBE-GGA | optimized geometry

Values from the calculation:
E	-55.6	eV for the cell shown
crystal system	orthorhombic
E above lowest polymorph	0.179	eV/atom
magnetization	0.002	μB/f.u.

abc: 3.8916 5.4178 5.5383
angles: 90.00 90.00 90.00
Last column: nearest neighbours and their distance in Å.
Space group Pmc2_1 (No. 26)
Asymmetric unit:
La  0.0000  0.1956  0.0000 (multiplicity 2)  2 O 2.47, 2 N 2.50-2.58
Pd  0.5000  0.3388  0.4991 (multiplicity 2)  2 N 1.99, 1 O 2.12
N  0.0000  0.3339  0.5700 (multiplicity 2)  2 Pd 1.99
O  0.5000  0.0535  0.2377 (multiplicity 2)  1 Pd 2.12

---

[8]
YMgGeIr | PBE-GGA | optimized geometry

Values from the calculation:
E	-92.5	eV for the cell shown
crystal system	cubic
E above lowest polymorph	0.054	eV/atom
magnetization	0.000	μB/f.u.

abc: 6.6080 6.6080 6.6080
angles: 90.00 90.00 90.00
Last column: nearest neighbours and their distance in Å.
Space group F-43m (No. 216)
Asymmetric unit:
Y  0.0000  0.0000  0.0000 (multiplicity 4)  4 Mg 2.86, 4 Ir 2.86
Mg  0.2500  0.2500  0.7500 (multiplicity 4)  4 Ge 2.86, 4 Y 2.86
Ge  0.0000  0.0000  0.5000 (multiplicity 4)  4 Mg 2.86, 4 Ir 2.86
Ir  0.2500  0.2500  0.2500 (multiplicity 4)  4 Ge 2.86, 4 Y 2.86

---

[9]
CoRePbW | PBE-GGA | optimized geometry

Values from the calculation:
E	-133.0	eV for the cell shown
crystal system	cubic
E above lowest polymorph	0.000	eV/atom
magnetization	1.948	μB/f.u.

abc: 6.3847 6.3847 6.3847
angles: 90.00 90.00 90.00
Last column: nearest neighbours and their distance in Å.
Space group F-43m (No. 216)
Asymmetric unit:
Co  0.0000  0.0000  0.0000 (multiplicity 4)  4 Pb 2.76, 4 W 2.76
Re  0.0000  0.0000  0.5000 (multiplicity 4)  4 W 2.76, 4 Pb 2.76
Pb  0.2500  0.2500  0.7500 (multiplicity 4)  4 Re 2.76, 4 Co 2.76
W  0.2500  0.2500  0.2500 (multiplicity 4)  4 Co 2.76, 4 Re 2.76

---

[10]
AcZr | PBE-GGA | optimized geometry

Values from the calculation:
E	-48.4	eV for the cell shown
energy of formation from the pure elements	0.560	eV/f.u.
crystal system	orthorhombic
E above lowest polymorph	0.140	eV/atom
magnetization	0.016	μB/f.u.

abc: 5.5096 7.8013 6.1362
angles: 90.00 90.00 90.00
Last column: nearest neighbours and their distance in Å.
Space group Pmm2 (No. 25)
Asymmetric unit:
Ac  0.0000  0.0000  0.0000 (multiplicity 1)  4 Ac 3.56-3.75, 6 Zr 3.73-3.91
Ac  0.0000  0.2823  0.5441 (multiplicity 2)  4 Ac 3.40-3.61, 6 Zr 3.46-3.56
Ac  0.5000  0.0000  0.4150 (multiplicity 1)  6 Ac 3.61-3.75, 6 Zr 3.84-4.00
Zr  0.0000  0.5000  0.0530 (multiplicity 1)  6 Zr 3.26, 4 Ac 3.46-3.56
Zr  0.5000  0.3124  0.8987 (multiplicity 2)  4 Zr 2.93-3.26
Zr  0.5000  0.5000  0.3379 (multiplicity 1)  4 Zr 3.07-3.26

---

[11]
ZnSiMo4N2 | PBE-GGA | optimized geometry

Values from the calculation:
E	-67.5	eV for the cell shown
crystal system	hexagonal
magnetization	0.013	μB/f.u.

abc: 2.9057 2.9057 13.8613
angles: 90.00 90.00 120.00
Last column: nearest neighbours and their distance in Å.
Space group P-6m2 (No. 187)
Asymmetric unit:
Zn  0.0000  0.0000  0.0000 (multiplicity 1)  6 Mo 2.78, 6 Zn 2.91
Si  0.3333  0.6667  0.5000 (multiplicity 1)  6 Mo 2.60, 6 Si 2.91
Mo  0.0000  0.0000  0.3572 (multiplicity 2)  3 N 2.18
Mo  0.3333  0.6667  0.1603 (multiplicity 2)  3 N 2.14
N  0.6667  0.3333  0.2564 (multiplicity 2)  6 Mo 2.14-2.18

---

[12]
LiFeSiAs | PBE-GGA | optimized geometry

Values from the calculation:
E	-82.7	eV for the cell shown
crystal system	cubic
E above lowest polymorph	0.000	eV/atom
magnetization	0.003	μB/f.u.

abc: 5.8014 5.8014 5.8014
angles: 90.00 90.00 90.00
Last column: nearest neighbours and their distance in Å.
Space group F-43m (No. 216)
Asymmetric unit:
Li  0.0000  0.0000  0.0000 (multiplicity 4)  4 Si 2.51, 4 As 2.51
Fe  0.0000  0.0000  0.5000 (multiplicity 4)  4 As 2.51, 4 Si 2.51
Si  0.2500  0.2500  0.7500 (multiplicity 4)  4 Fe 2.51, 4 Li 2.51
As  0.2500  0.2500  0.2500 (multiplicity 4)  4 Fe 2.51, 4 Li 2.51